A plane-wave DFT calculation with PBE was carried out for a relaxed structure of UCuI2.

Properties
formation energy (no corrections) = 0.327 eV/atom
volume = 29.978 Å³/atom
total moment = 0.885 μB/atom

POSCAR file:
```
UCuI2
1.0
1.910 1.103 9.486
-1.910 1.103 9.486
0.000 -2.206 9.486
U Cu I
1 1 2
Direct
0.000 0.000 0.000
0.500 0.500 0.500
0.107 0.107 0.107
0.893 0.893 0.893
```